No. 1
Below is a relaxed structure of Tm4TlZn2, with properties calculated at the PBE level.

E_form in eV per atom: -0.04
Offset from the most stable computed form in meV/atom: 123
Total energy in eV per atom: -3.299

Unit cell a=9.675 b=9.675 c=9.675 alpha=29.12 beta=29.12 gamma=29.12
Sites, in units of the cell vectors:
Tm: 0.117 0.117 0.117
Tm: 0.299 0.299 0.299
Tm: 0.701 0.701 0.701
Tm: 0.883 0.883 0.883
Tl: 0.500 0.500 0.500
Zn: 0.401 0.401 0.401
Zn: 0.599 0.599 0.599



No. 2
Below is a relaxed structure of Tm3Tl2Zn, with properties calculated at the PBE level.

E_form in eV per atom: -0.22
Offset from the most stable computed form in meV/atom: 102
Total energy in eV per atom: -3.459

Unit cell a=8.298 b=8.298 c=6.548 alpha=102.94 beta=102.94 gamma=44.32
Sites, in units of the cell vectors:
Tm: 0.134 0.866 0.750
Tm: 0.233 0.439 0.411
Tm: 0.439 0.233 0.911
Tm: 0.561 0.767 0.089
Tm: 0.767 0.561 0.589
Tm: 0.866 0.134 0.250
Tl: 0.051 0.275 0.050
Tl: 0.275 0.051 0.550
Tl: 0.725 0.949 0.450
Tl: 0.949 0.725 0.950
Zn: 0.377 0.623 0.250
Zn: 0.623 0.377 0.750



Which of these has the highest offset from the most stable computed form?
Tm4TlZn2